# PBE with a Hubbard U PaCr2CoO8, relaxed
# total moment	6.0	μB/f.u.
# uncorrected energy	-7.717	eV per atom
# ρ	6.21	g/cm³
data_PaCr2CoO8
_chemical_formula_sum 'Pa1 Cr2 Co1 O8'
_cell_length_a 4.777
_cell_length_b 4.782
_cell_length_c 6.113
_cell_angle_alpha 89.00
_cell_angle_beta 89.04
_cell_angle_gamma 87.81
_symmetry_space_group_name_H-M 'P -1'
_symmetry_Int_Tables_number 2
_symmetry_space_group_name_Hall '-P 1'
loop_
_atom_site_label
_atom_site_type_symbol
_atom_site_fract_x
_atom_site_fract_y
_atom_site_fract_z
Pa1 Pa 0.000 0.000 0.000
Cr1 Cr 0.497 0.497 0.266
Co1 Co 0.000 0.000 0.500
O1 O 0.202 0.796 0.728
O2 O 0.205 0.800 0.272
O3 O 0.318 0.319 0.494
O4 O 0.321 0.323 0.994